Density functional theory data (PBE) for crystalline Be9VNi2 at its relaxed geometry.

Calculated values
Its symmetry is R-3m (166). For the mass density, the calculation gives 4.0 Mg/m³. Its uncorrected energy is -0.1740 hartree per atom.

POSCAR file:
```
Be9VNi2
1.0
4.0467 0.0000 1.2044
1.8441 3.6021 1.2044
0.0672 0.0411 7.1750
V Be Ni
1 9 2
Cartesian
0.0000 0.0000 0.0000
1.9618 1.1996 0.8089
2.5806 0.3257 6.1306
3.5139 2.1486 6.7401
1.4659 2.1486 6.1306
4.4921 1.4945 3.4532
2.4442 1.4945 2.8437
3.3774 3.3175 3.4532
3.9962 2.4436 8.7749
2.9790 1.8216 4.7919
5.0831 3.1082 5.1229
0.8750 0.5350 4.4608
```

=====

Density functional theory data (PBE) for crystalline Tl2MoIrW at its relaxed geometry.

Calculated values
Its symmetry is P4/mmm (123). For the mass density, the calculation gives 11.3 Mg/m³. Its uncorrected energy is -0.2077 hartree per atom.

POSCAR file:
```
Tl2MoIrW
1.0
-1.8588 -4.5352 -1.5975
0.0005 -1.6250 4.6125
-4.8084 1.7530 0.6181
Tl Ir Mo W
2 1 1 1
Cartesian
-2.4042 0.8765 0.3090
-0.9294 -2.2676 -0.7988
0.0000 0.0000 0.0000
0.0002 -0.8125 2.3062
-3.3333 -2.2036 1.8165
```

=====

One value per record, in order, for magnetic moment: 2.00, 1.93 μB/f.u..